[1]
VASP calculation (PBE) on a geometry-optimized In5Os structure.

## Properties
Distance to the lowest polymorph of the same formula in meV/atom: 178
Space group: Cmmm (65)
M_tot in μB per formula unit: 0.000

Cell: 7.2302 7.2302 4.4196 Å, 90.00 90.00 144.58°
Positions (direct):
1 In 0.0000 0.0000 0.0000
2 In 0.1509 0.8491 0.5000
3 In 0.3453 0.6547 0.0000
4 In 0.6547 0.3453 0.0000
5 In 0.8491 0.1509 0.5000
6 Os 0.5000 0.5000 0.5000

=====

[2]
VASP calculation (PBE) on a geometry-optimized FeRe2Ir structure.

## Properties
Distance to the lowest polymorph of the same formula in meV/atom: 43
Space group: Cmmm (65)
M_tot in μB per formula unit: 0.262

Cell: 4.6786 4.6786 2.6951 Å, 90.00 90.00 110.20°
Positions (direct):
1 Fe 0.0000 0.0000 0.0000
2 Re 0.0000 0.5000 0.5000
3 Re 0.5000 0.0000 0.5000
4 Ir 0.5000 0.5000 0.0000

=====

[3]
VASP calculation (PBE) on a geometry-optimized BeAsAuSe2 structure.

## Properties
Formation energy from raw total energies in eV per formula unit: 5.70
Distance to the lowest polymorph of the same formula in meV/atom: 624
Space group: P4/mmm (123)
M_tot in μB per formula unit: 0.098

Cell: 5.1982 5.1982 4.8329 Å, 90.00 90.00 90.00°
Positions (direct):
1 Be 0.0000 0.0000 0.0000
2 As 0.5000 0.5000 0.0000
3 Au 0.5000 0.5000 0.5000
4 Se 0.0000 0.5000 0.5000
5 Se 0.5000 0.0000 0.5000

=====

> Which of these has the highest M_tot?

FeRe2Ir

=====

> Which value of M_tot does entry 1 give?

0.000 μB per formula unit